1.
The following is a PBE-GGA calculation of a geometry-optimized LaU2Ir9 structure, from Alexandria via LeMat-Bulk.

CIF file:
```
data_LaU2Ir9
_chemical_formula_sum 'La3 U6 Ir27'
_symmetry_space_group_name_H-M 'R -3 m'
_symmetry_Int_Tables_number 166
_symmetry_space_group_name_Hall '-R 3 2"'
_cell_length_a 5.3212
_cell_length_b 5.3212
_cell_length_c 26.3189
_cell_angle_alpha 90.00
_cell_angle_beta 90.00
_cell_angle_gamma 120.00
loop_
_atom_site_label
_atom_site_fract_x
_atom_site_fract_y
_atom_site_fract_z
La1 0.0000 0.0000 0.0000
U1 0.0000 0.0000 0.1403
Ir1 0.0000 0.0000 0.3333
Ir2 0.0000 0.0000 0.5000
Ir3 0.0031 0.5016 0.9158
```

## Properties
ΔE_f ... -0.47 eV per atom
D(E_F) ... 1.232 states/eV/atom
E_tot ... -338.7 eV/cell

=====

2.
The following is a PBE-GGA calculation of a geometry-optimized SmYIn structure, from Alexandria via LeMat-Bulk.

CIF file:
```
data_SmYIn
_chemical_formula_sum 'Sm4 Y4 In4'
_symmetry_space_group_name_H-M 'C m c m'
_symmetry_Int_Tables_number 63
_symmetry_space_group_name_Hall '-C 2c 2'
_cell_length_a 5.4402
_cell_length_b 9.4426
_cell_length_c 6.8463
_cell_angle_alpha 90.00
_cell_angle_beta 90.00
_cell_angle_gamma 90.00
loop_
_atom_site_label
_atom_site_fract_x
_atom_site_fract_y
_atom_site_fract_z
Sm1 0.0000 0.1668 0.2500
Y1 0.0000 0.5000 0.0000
In1 0.0000 0.1663 0.7500
```

## Properties
ΔE_f ... -0.37 eV per atom
D(E_F) ... 1.263 states/eV/atom
E_tot ... -60.1 eV/cell

=====

3.
The following is a PBE-GGA calculation of a geometry-optimized Mg2TiAu6 structure, from Alexandria via LeMat-Bulk.

CIF file:
```
data_Mg2TiAu6
_chemical_formula_sum 'Mg8 Ti4 Au24'
_symmetry_space_group_name_H-M 'C 1 2/c 1'
_symmetry_Int_Tables_number 15
_cell_length_a 13.3671
_cell_length_b 9.8574
_cell_length_c 4.9483
_cell_angle_alpha 90.00
_cell_angle_beta 99.79
_cell_angle_gamma 90.00
loop_
_symmetry_equiv_pos_as_xyz
'x,y,z'
'-x,-y,-z'
'-x,y,-z+1/2'
'x,-y,z+1/2'
'x+1/2,y+1/2,z'
'-x+1/2,-y+1/2,-z'
'-x+1/2,y+1/2,-z+1/2'
'x+1/2,-y+1/2,z+1/2'
loop_
_atom_site_label
_atom_site_fract_x
_atom_site_fract_y
_atom_site_fract_z
Mg1 0.1690 0.1249 0.0807
Ti1 0.0000 0.3679 0.2500
Au1 0.0590 0.1245 0.5229
Au2 0.1063 0.3796 0.8057
Au3 0.2178 0.3707 0.3544
```

## Properties
ΔE_f ... -0.40 eV per atom
D(E_F) ... 0.604 states/eV/atom
E_tot ... -137.4 eV/cell

=====

4.
The following is a PBE-GGA calculation of a geometry-optimized Ta3NbSe structure, from Alexandria via LeMat-Bulk.

CIF file:
```
data_Ta3NbSe
_chemical_formula_sum 'Ta3 Nb1 Se1'
_symmetry_space_group_name_H-M 'P m -3 m'
_symmetry_Int_Tables_number 221
_symmetry_space_group_name_Hall '-P 4 2 3'
_cell_length_a 4.9077
_cell_length_b 4.9077
_cell_length_c 4.9077
_cell_angle_alpha 90.00
_cell_angle_beta 90.00
_cell_angle_gamma 90.00
loop_
_atom_site_label
_atom_site_fract_x
_atom_site_fract_y
_atom_site_fract_z
Ta1 0.0000 0.0000 0.5000
Nb1 0.0000 0.0000 0.0000
Se1 0.5000 0.5000 0.5000
```

## Properties
Formation energy from raw total energies ... 8.2 eV per formula unit
D(E_F) ... 0.728 states/eV/atom
E_tot ... -40.9 eV/cell

=====

5.
The following is a PBE-GGA calculation of a geometry-optimized Dy4SeS3 structure, from Alexandria via LeMat-Bulk.

CIF file:
```
data_Dy4SeS3
_chemical_formula_sum 'Dy8 Se2 S6'
_symmetry_space_group_name_H-M 'P 63/m m c'
_symmetry_Int_Tables_number 194
_symmetry_space_group_name_Hall '-P 6c 2c'
_cell_length_a 3.9076
_cell_length_b 3.9076
_cell_length_c 26.4138
_cell_angle_alpha 90.00
_cell_angle_beta 90.00
_cell_angle_gamma 120.00
loop_
_atom_site_label
_atom_site_fract_x
_atom_site_fract_y
_atom_site_fract_z
Dy1 0.0000 0.0000 0.1784
Dy2 0.3333 0.6667 0.0632
Se1 0.3333 0.6667 0.2500
S1 0.0000 0.0000 0.0000
S2 0.3333 0.6667 0.6209
```

## Properties
Formation energy from raw total energies ... -15.5 eV per formula unit
D(E_F) ... 0.343 states/eV/atom
E_tot ... -99.6 eV/cell

=====

6.
The following is a PBE-GGA calculation of a geometry-optimized As2Au structure, from Alexandria via LeMat-Bulk.

CIF file:
```
data_As2Au
_chemical_formula_sum 'As8 Au4'
_symmetry_space_group_name_H-M 'C 1 2/m 1'
_symmetry_Int_Tables_number 12
_cell_length_a 11.8646
_cell_length_b 2.9306
_cell_length_c 9.4180
_cell_angle_alpha 90.00
_cell_angle_beta 128.41
_cell_angle_gamma 90.00
loop_
_symmetry_equiv_pos_as_xyz
'x,y,z'
'-x,-y,-z'
'-x,y,-z'
'x,-y,z'
'x+1/2,y+1/2,z'
'-x+1/2,-y+1/2,-z'
'-x+1/2,y+1/2,-z'
'x+1/2,-y+1/2,z'
loop_
_atom_site_label
_atom_site_fract_x
_atom_site_fract_y
_atom_site_fract_z
As1 0.0481 0.0000 0.3075
As2 0.2416 0.5000 0.6958
Au1 0.1263 0.5000 0.9979
```

## Properties
ΔE_f ... 0.13 eV per atom
D(E_F) ... 0.154 states/eV/atom
E_tot ... -48.7 eV/cell

=====

7.
The following is a PBE-GGA calculation of a geometry-optimized AcPrZnBi structure, from Alexandria via LeMat-Bulk.

CIF file:
```
data_AcPrZnBi
_chemical_formula_sum 'Ac4 Pr4 Zn4 Bi4'
_symmetry_space_group_name_H-M 'F -4 3 m'
_symmetry_Int_Tables_number 216
_symmetry_space_group_name_Hall 'F -4 2 3'
_cell_length_a 7.9478
_cell_length_b 7.9478
_cell_length_c 7.9478
_cell_angle_alpha 90.00
_cell_angle_beta 90.00
_cell_angle_gamma 90.00
loop_
_atom_site_label
_atom_site_fract_x
_atom_site_fract_y
_atom_site_fract_z
Ac1 0.0000 0.0000 0.0000
Pr1 0.0000 0.0000 0.5000
Zn1 0.2500 0.2500 0.7500
Bi1 0.2500 0.2500 0.2500
```

## Properties
ΔE_f ... -0.44 eV per atom
D(E_F) ... 0.976 states/eV/atom
E_tot ... -63.2 eV/cell

=====

8.
The following is a PBE-GGA calculation of a geometry-optimized CaAlOsRh2 structure, from Alexandria via LeMat-Bulk.

CIF file:
```
data_CaAlOsRh2
_chemical_formula_sum 'Ca1 Al1 Os1 Rh2'
_symmetry_space_group_name_H-M 'P 4/m m m'
_symmetry_Int_Tables_number 123
_symmetry_space_group_name_Hall '-P 4 2'
_cell_length_a 4.6454
_cell_length_b 4.6454
_cell_length_c 4.8321
_cell_angle_alpha 90.00
_cell_angle_beta 90.00
_cell_angle_gamma 90.00
loop_
_atom_site_label
_atom_site_fract_x
_atom_site_fract_y
_atom_site_fract_z
Ca1 0.0000 0.0000 0.0000
Al1 0.5000 0.5000 0.5000
Os1 0.0000 0.0000 0.5000
Rh1 0.0000 0.5000 0.0000
```

## Properties
ΔE_f ... 1.89 eV per atom
D(E_F) ... 1.591 states/eV/atom
E_tot ... -22.2 eV/cell

=====

9.
The following is a PBE-GGA calculation of a geometry-optimized Ho5Tl2Ga structure, from Alexandria via LeMat-Bulk.

CIF file:
```
data_Ho5Tl2Ga
_chemical_formula_sum 'Ho20 Tl8 Ga4'
_symmetry_space_group_name_H-M 'I 4/m c m'
_symmetry_Int_Tables_number 140
_symmetry_space_group_name_Hall '-I 4 2c'
_cell_length_a 7.9533
_cell_length_b 7.9533
_cell_length_c 14.0718
_cell_angle_alpha 90.00
_cell_angle_beta 90.00
_cell_angle_gamma 90.00
loop_
_atom_site_label
_atom_site_fract_x
_atom_site_fract_y
_atom_site_fract_z
Ho1 0.0000 0.0000 0.0000
Ho2 0.1620 0.3379 0.1550
Tl1 0.1349 0.3651 0.5000
Ga1 0.0000 0.0000 0.2500
```

## Properties
ΔE_f ... -0.30 eV per atom
D(E_F) ... 0.759 states/eV/atom
E_tot ... -132.1 eV/cell

=====

10.
The following is a PBE-GGA calculation of a geometry-optimized SrAc4Pr structure, from Alexandria via LeMat-Bulk.

CIF file:
```
data_SrAc4Pr
_chemical_formula_sum 'Sr4 Ac16 Pr4'
_symmetry_space_group_name_H-M 'F -4 3 m'
_symmetry_Int_Tables_number 216
_symmetry_space_group_name_Hall 'F -4 2 3'
_cell_length_a 10.4405
_cell_length_b 10.4405
_cell_length_c 10.4405
_cell_angle_alpha 90.00
_cell_angle_beta 90.00
_cell_angle_gamma 90.00
loop_
_atom_site_label
_atom_site_fract_x
_atom_site_fract_y
_atom_site_fract_z
Sr1 0.0000 0.0000 0.0000
Ac1 0.1236 0.1236 0.6236
Pr1 0.2500 0.2500 0.2500
```

## Properties
ΔE_f ... 0.25 eV per atom
D(E_F) ... 1.447 states/eV/atom
E_tot ... -85.7 eV/cell

=====

11.
The following is a PBE-GGA calculation of a geometry-optimized MoHRh2W structure, from Alexandria via LeMat-Bulk.

CIF file:
```
data_MoHRh2W
_chemical_formula_sum 'Mo1 H1 Rh2 W1'
_symmetry_space_group_name_H-M 'P 4/m m m'
_symmetry_Int_Tables_number 123
_symmetry_space_group_name_Hall '-P 4 2'
_cell_length_a 3.8765
_cell_length_b 3.8765
_cell_length_c 4.1177
_cell_angle_alpha 90.00
_cell_angle_beta 90.00
_cell_angle_gamma 90.00
loop_
_atom_site_label
_atom_site_fract_x
_atom_site_fract_y
_atom_site_fract_z
Mo1 0.0000 0.0000 0.0000
H1 0.5000 0.5000 0.5000
Rh1 0.0000 0.5000 0.5000
W1 0.5000 0.5000 0.0000
```

## Properties
D(E_F) ... 0.540 states/eV/atom
E_tot ... -42.2 eV/cell

=====

12.
The following is a PBE-GGA calculation of a geometry-optimized Mg2GeBi structure, from Alexandria via LeMat-Bulk.

CIF file:
```
data_Mg2GeBi
_chemical_formula_sum 'Mg2 Ge1 Bi1'
_symmetry_space_group_name_H-M 'P 4/m m m'
_symmetry_Int_Tables_number 123
_symmetry_space_group_name_Hall '-P 4 2'
_cell_length_a 3.3263
_cell_length_b 3.3263
_cell_length_c 8.4268
_cell_angle_alpha 90.00
_cell_angle_beta 90.00
_cell_angle_gamma 90.00
loop_
_atom_site_label
_atom_site_fract_x
_atom_site_fract_y
_atom_site_fract_z
Mg1 0.0000 0.0000 0.2117
Ge1 0.5000 0.5000 0.0000
Bi1 0.5000 0.5000 0.5000
```

## Properties
ΔE_f ... -0.08 eV per atom
D(E_F) ... 0.410 states/eV/atom
E_tot ... -12.0 eV/cell